Computed, not measured: crystalline Ac8P3Se4O at its relaxed geometry at the PBE-GGA level of DFT.

abc: 8.6885 8.6885 21.9499
angles: 90.00 90.00 120.00
Last column: nearest neighbours and their distance in Å.
Space group R-3m (No. 166, hexagonal axes)
One atom of each set of equivalent atoms:
Ac 0.0000 0.0000 0.2443  3 P 3.03, 3 Se 3.18
Ac 0.0114 0.5057 0.2412  1 O 2.92, 2 P 3.03, 2 Se 3.19
P 0.0000 0.5000 0.5000  6 Ac 3.03
Se 0.0000 0.0000 0.0000  6 Ac 3.29
Se 0.0000 0.5000 0.0000  6 Ac 3.18-3.19
O 0.0000 0.0000 0.5000  6 Ac 2.92

Volume = 29.897 A^3/atom
ΔE_f (raw) = -1.814 eV per atom
Fermi-level density of states = 26.27 states/eV/cell